DFT (GGA-PBE) results for SrAsS after structural relaxation.

a = 11.289 Å, b = 4.482 Å, c = 4.482 Å
α = 51.13°, β = 90.00°, γ = 90.00°
Element x y z (fractional)
1 Sr 0.179 0.000 0.000
2 Sr 0.821 0.000 0.000
3 As 0.000 0.305 0.305
4 As 0.500 0.158 0.158
5 S 0.334 0.306 0.306
6 S 0.666 0.306 0.306

The formation energy from raw total energies is -0.828 eV per atom.

DFT (GGA-PBE) results for SbTe2P after structural relaxation.

a = 3.735 Å, b = 5.111 Å, c = 5.193 Å
α = 90.00°, β = 90.00°, γ = 90.00°
Element x y z (fractional)
1 Sb 0.000 0.000 0.000
2 Te 0.000 0.500 0.500
3 Te 0.500 0.500 0.000
4 P 0.500 0.000 0.500

The formation energy from raw total energies is 0.513 eV per atom. Its energy above the lowest structure with this stoichiometry is 355 meV/atom.

DFT (GGA-PBE) results for Ti2CrRe after structural relaxation.

a = 4.381 Å, b = 4.381 Å, c = 3.097 Å
α = 90.00°, β = 90.00°, γ = 90.00°
Element x y z (fractional)
1 Ti 0.000 0.500 0.000
2 Ti 0.500 0.000 0.000
3 Cr 0.000 0.000 0.500
4 Re 0.500 0.500 0.500

As for the formation enthalpy at 0 K: -0.17 eV per atom.

DFT (GGA-PBE) results for CsK2NpCl8 after structural relaxation.

a = 6.394 Å, b = 10.180 Å, c = 6.932 Å
α = 90.00°, β = 96.43°, γ = 90.00°
Element x y z (fractional)
1 Cs 0.000 0.000 0.000
2 K 0.500 0.246 0.500
3 K 0.500 0.754 0.500
4 Np 0.000 0.500 0.000
5 Cl 0.122 0.319 0.782
6 Cl 0.122 0.681 0.782
7 Cl 0.352 0.500 0.218
8 Cl 0.494 0.000 0.752
9 Cl 0.506 0.000 0.248
10 Cl 0.648 0.500 0.782
11 Cl 0.878 0.319 0.218
12 Cl 0.878 0.681 0.218

The formation energy from raw total energies is -1.690 eV per atom.

DFT (GGA-PBE) results for CdCo2As after structural relaxation.

a = 6.694 Å, b = 6.694 Å, c = 6.694 Å
α = 155.33°, β = 150.29°, γ = 38.99°
Element x y z (fractional)
1 Cd 0.000 0.000 0.000
2 Co 0.189 0.689 0.500
3 Co 0.365 0.365 0.000
4 As 0.746 0.246 0.500

As for the formation enthalpy at 0 K: 0.14 eV per atom. Its energy above the lowest structure with this stoichiometry is 55 meV/atom.

DFT (GGA-PBE) results for ScTeAsBr2 after structural relaxation.

a = 5.424 Å, b = 5.424 Å, c = 5.660 Å
α = 90.00°, β = 90.00°, γ = 90.00°
Element x y z (fractional)
1 Sc 0.000 0.000 0.000
2 Te 0.500 0.500 0.500
3 As 0.500 0.500 0.000
4 Br 0.000 0.500 0.500
5 Br 0.500 0.000 0.500

The formation energy from raw total energies is 0.379 eV per atom. Its energy above the lowest structure with this stoichiometry is 820 meV/atom.

DFT (GGA-PBE) results for SrSc2Cd after structural relaxation.

a = 5.794 Å, b = 5.794 Å, c = 5.794 Å
α = 130.13°, β = 130.13°, γ = 73.20°
Element x y z (fractional)
1 Sr 0.000 0.000 0.000
2 Sc 0.500 0.500 0.000
3 Sc 0.750 0.250 0.500
4 Cd 0.250 0.750 0.500

As for the formation enthalpy at 0 K: 0.14 eV per atom. Its energy above the lowest structure with this stoichiometry is 170 meV/atom.

DFT (GGA-PBE) results for LiLaTc after structural relaxation.

a = 4.566 Å, b = 4.566 Å, c = 4.566 Å
α = 60.00°, β = 60.00°, γ = 60.00°
Element x y z (fractional)
1 Li 0.000 0.000 0.000
2 La 0.500 0.500 0.500
3 Tc 0.750 0.750 0.750

As for the formation enthalpy at 0 K: 0.59 eV per atom. Its energy above the lowest structure with this stoichiometry is 437 meV/atom.

DFT (GGA-PBE) results for Y2TeAsO after structural relaxation.

a = 5.411 Å, b = 5.411 Å, c = 5.180 Å
α = 90.00°, β = 90.00°, γ = 90.00°
Element x y z (fractional)
1 Y 0.000 0.500 0.000
2 Y 0.500 0.000 0.000
3 Te 0.000 0.000 0.500
4 As 0.000 0.000 0.000
5 O 0.500 0.500 0.500

The formation energy from raw total energies is -0.010 eV per atom.

DFT (GGA-PBE) results for Tb6Pr2Dy3Mg after structural relaxation.

a = 6.157 Å, b = 6.157 Å, c = 11.804 Å
α = 95.02°, β = 95.02°, γ = 120.04°
Element x y z (fractional)
1 Tb 0.084 0.415 0.752
2 Tb 0.248 0.248 0.247
3 Tb 0.415 0.084 0.752
4 Tb 0.585 0.916 0.248
5 Tb 0.752 0.752 0.753
6 Tb 0.916 0.585 0.248
7 Pr 0.333 0.667 0.500
8 Pr 0.667 0.333 0.500
9 Dy 0.166 0.834 0.000
10 Dy 0.500 0.500 0.000
11 Dy 0.834 0.166 0.000
12 Mg 0.000 0.000 0.500

As for the formation enthalpy at 0 K: 0.02 eV per atom.

DFT (GGA-PBE) results for HfScC2 after structural relaxation.

a = 6.175 Å, b = 6.175 Å, c = 6.175 Å
α = 131.48°, β = 131.48°, γ = 71.04°
Element x y z (fractional)
1 Hf 0.000 0.000 0.000
2 Hf 0.750 0.250 0.500
3 Sc 0.250 0.750 0.500
4 Sc 0.500 0.500 0.000
5 C 0.114 0.625 0.989
6 C 0.375 0.364 0.489
7 C 0.636 0.125 0.011
8 C 0.875 0.886 0.511

As for the formation enthalpy at 0 K: 0.03 eV per atom. Its energy above the lowest structure with this stoichiometry is 248 meV/atom.

DFT (GGA-PBE) results for Yb4Mn2Sn5 after structural relaxation.

a = 8.549 Å, b = 8.549 Å, c = 7.708 Å
α = 107.22°, β = 107.22°, γ = 31.25°
Element x y z (fractional)
1 Yb 0.081 0.081 0.370
2 Yb 0.150 0.150 0.944
3 Yb 0.850 0.850 0.056
4 Yb 0.919 0.919 0.630
5 Mn 0.275 0.275 0.391
6 Mn 0.725 0.725 0.609
7 Sn 0.303 0.303 0.756
8 Sn 0.429 0.429 0.335
9 Sn 0.500 0.500 0.000
10 Sn 0.571 0.571 0.665
11 Sn 0.697 0.697 0.244

As for the formation enthalpy at 0 K: -0.44 eV per atom.

DFT (GGA-PBE) results for Eu2YCl after structural relaxation.

a = 10.660 Å, b = 10.660 Å, c = 10.660 Å
α = 20.62°, β = 20.62°, γ = 20.62°
Element x y z (fractional)
1 Eu 0.236 0.236 0.236
2 Eu 0.764 0.764 0.764
3 Y 0.000 0.000 0.000
4 Cl 0.500 0.500 0.500

The formation energy from raw total energies is -0.777 eV per atom.

DFT (GGA-PBE) results for Pt2Rh6W after structural relaxation.

a = 4.753 Å, b = 4.753 Å, c = 8.218 Å
α = 106.52°, β = 106.52°, γ = 48.33°
Element x y z (fractional)
1 Pt 0.164 0.164 0.221
2 Pt 0.836 0.836 0.779
3 Rh 0.162 0.162 0.551
4 Rh 0.166 0.166 0.890
5 Rh 0.499 0.499 0.670
6 Rh 0.501 0.501 0.330
7 Rh 0.834 0.834 0.110
8 Rh 0.838 0.838 0.449
9 W 0.500 0.500 0.000

As for the formation enthalpy at 0 K: -0.15 eV per atom. Its energy above the lowest structure with this stoichiometry is 0 meV/atom.

DFT (GGA-PBE) results for MgAgHRh2 after structural relaxation.

a = 3.931 Å, b = 3.931 Å, c = 4.197 Å
α = 90.00°, β = 90.00°, γ = 90.00°
Element x y z (fractional)
1 Mg 0.000 0.000 0.000
2 Ag 0.500 0.500 0.000
3 H 0.000 0.000 0.500
4 Rh 0.000 0.500 0.500
5 Rh 0.500 0.000 0.500

Its energy above the lowest structure with this stoichiometry is 0 meV/atom.

DFT (GGA-PBE) results for LiReRh2 after structural relaxation.

a = 4.489 Å, b = 4.489 Å, c = 2.776 Å
α = 90.00°, β = 90.00°, γ = 90.00°
Element x y z (fractional)
1 Li 0.000 0.000 0.000
2 Re 0.500 0.500 0.000
3 Rh 0.000 0.500 0.500
4 Rh 0.500 0.000 0.500

As for the formation enthalpy at 0 K: -0.01 eV per atom.

DFT (GGA-PBE) results for Pm2Ho6Er3Tm after structural relaxation.

a = 6.122 Å, b = 6.122 Å, c = 11.721 Å
α = 94.98°, β = 94.98°, γ = 119.95°
Element x y z (fractional)
1 Pm 0.167 0.833 0.000
2 Pm 0.833 0.167 0.000
3 Ho 0.083 0.415 0.748
4 Ho 0.252 0.252 0.253
5 Ho 0.415 0.083 0.748
6 Ho 0.585 0.917 0.252
7 Ho 0.748 0.748 0.747
8 Ho 0.917 0.585 0.252
9 Er 0.000 0.000 0.500
10 Er 0.334 0.666 0.500
11 Er 0.666 0.334 0.500
12 Tm 0.500 0.500 0.000

As for the formation enthalpy at 0 K: 0.02 eV per atom.

DFT (GGA-PBE) results for Ba2LaYMg after structural relaxation.

a = 6.197 Å, b = 6.197 Å, c = 5.958 Å
α = 90.00°, β = 90.00°, γ = 90.00°
Element x y z (fractional)
1 Ba 0.000 0.500 0.000
2 Ba 0.500 0.000 0.000
3 La 0.000 0.000 0.000
4 Y 0.500 0.500 0.500
5 Mg 0.000 0.000 0.500

As for the formation enthalpy at 0 K: 0.82 eV per atom.

DFT (GGA-PBE) results for Cs2CaCu3F12 after structural relaxation.

a = 7.444 Å, b = 7.444 Å, c = 7.444 Å
α = 60.46°, β = 60.46°, γ = 60.46°
Element x y z (fractional)
1 Cs 0.116 0.116 0.116
2 Cs 0.884 0.884 0.884
3 Ca 0.500 0.500 0.500
4 Cu 0.000 0.500 0.500
5 Cu 0.500 0.000 0.500
6 Cu 0.500 0.500 0.000
7 F 0.132 0.592 0.592
8 F 0.201 0.201 0.580
9 F 0.201 0.580 0.201
10 F 0.408 0.408 0.868
11 F 0.408 0.868 0.408
12 F 0.420 0.799 0.799
13 F 0.580 0.201 0.201
14 F 0.592 0.132 0.592
15 F 0.592 0.592 0.132
16 F 0.799 0.420 0.799
17 F 0.799 0.799 0.420
18 F 0.868 0.408 0.408

The formation energy from raw total energies is -2.224 eV per atom.

DFT (GGA-PBE) results for Co3ReNi12 after structural relaxation.

a = 3.550 Å, b = 3.550 Å, c = 14.176 Å
α = 90.00°, β = 90.00°, γ = 90.00°
Element x y z (fractional)
1 Co 0.000 0.000 0.000
2 Co 0.000 0.000 0.244
3 Co 0.000 0.000 0.756
4 Re 0.000 0.000 0.500
5 Ni 0.000 0.500 0.123
6 Ni 0.000 0.500 0.372
7 Ni 0.000 0.500 0.628
8 Ni 0.000 0.500 0.877
9 Ni 0.500 0.000 0.123
10 Ni 0.500 0.000 0.372
11 Ni 0.500 0.000 0.628
12 Ni 0.500 0.000 0.877
13 Ni 0.500 0.500 0.000
14 Ni 0.500 0.500 0.247
15 Ni 0.500 0.500 0.500
16 Ni 0.500 0.500 0.753

As for the formation enthalpy at 0 K: 0.04 eV per atom.

DFT (GGA-PBE) results for TbCe2ThAs4 after structural relaxation.

a = 7.283 Å, b = 4.215 Å, c = 7.311 Å
α = 90.00°, β = 109.46°, γ = 90.00°
Element x y z (fractional)
1 Tb 0.000 0.000 0.000
2 Ce 0.000 0.500 0.500
3 Ce 0.500 0.000 0.500
4 Th 0.500 0.500 0.000
5 As 0.247 0.000 0.750
6 As 0.247 0.500 0.248
7 As 0.753 0.000 0.250
8 As 0.753 0.500 0.752

As for the formation enthalpy at 0 K: -1.46 eV per atom.

DFT (GGA-PBE) results for AcIn2Pb after structural relaxation.

a = 5.647 Å, b = 5.647 Å, c = 5.647 Å
α = 60.00°, β = 60.00°, γ = 60.00°
Element x y z (fractional)
1 Ac 0.000 0.000 0.000
2 In 0.250 0.250 0.250
3 In 0.750 0.750 0.750
4 Pb 0.500 0.500 0.500

As for the formation enthalpy at 0 K: -0.25 eV per atom. Its energy above the lowest structure with this stoichiometry is 152 meV/atom.

DFT (GGA-PBE) results for TmTlTeS after structural relaxation.

a = 8.403 Å, b = 8.403 Å, c = 8.403 Å
α = 28.78°, β = 28.78°, γ = 28.78°
Element x y z (fractional)
1 Tm 0.000 0.000 0.000
2 Tl 0.160 0.160 0.160
3 Te 0.587 0.587 0.587
4 S 0.384 0.384 0.384

The formation energy from raw total energies is -1.224 eV per atom.

DFT (GGA-PBE) results for Tb4Y3Bi8 after structural relaxation.

a = 8.937 Å, b = 8.937 Å, c = 8.933 Å
α = 119.98°, β = 119.98°, γ = 90.01°
Element x y z (fractional)
1 Tb 0.000 0.000 0.000
2 Tb 0.000 0.500 0.000
3 Tb 0.500 0.000 0.000
4 Tb 0.500 0.500 0.500
5 Y 0.000 0.500 0.500
6 Y 0.500 0.000 0.500
7 Y 0.500 0.500 0.000
8 Bi 0.245 0.245 0.500
9 Bi 0.245 0.245 0.990
10 Bi 0.245 0.755 0.500
11 Bi 0.250 0.750 0.000
12 Bi 0.750 0.250 0.000
13 Bi 0.755 0.245 0.500
14 Bi 0.755 0.755 0.010
15 Bi 0.755 0.755 0.500

As for the formation enthalpy at 0 K: -0.70 eV per atom.

DFT (GGA-PBE) results for TlTePtN2 after structural relaxation.

a = 4.157 Å, b = 4.157 Å, c = 5.780 Å
α = 90.00°, β = 90.00°, γ = 90.00°
Element x y z (fractional)
1 Tl 0.000 0.000 0.000
2 Te 0.500 0.500 0.000
3 Pt 0.500 0.500 0.500
4 N 0.000 0.500 0.500
5 N 0.500 0.000 0.500

The formation energy from raw total energies is 1.215 eV per atom. Its energy above the lowest structure with this stoichiometry is 0 meV/atom.